(1)
# BeTcH

An optimized crystal structure of BeTcH (PBE, the Alexandria database).

## Properties
Symmetry: Pmma
Final energy, eV/atom: -5.775

a b c (Å): 3.2475 4.5422 5.9330
angles (deg): 113.05 123.23 44.40
Fractional coordinates of all 6 atoms:
Be 0.1102 0.2500 0.8603
H 0.6453 0.2500 0.3948
Be 0.8898 0.7500 0.1397
Tc 0.9948 0.7500 0.7450
H 0.3547 0.7500 0.6052
Tc 0.0052 0.2500 0.2550

(2)
# BeTc2H

An optimized crystal structure of BeTc2H (PBE, the Alexandria database).

## Properties
Symmetry: R-3m
Final energy, eV/atom: -6.902

a b c (Å): 2.8435 2.8435 6.0555
angles (deg): 76.42 76.42 60.00
Fractional coordinates of all 4 atoms:
Tc 0.7715 0.7715 0.6854
H 0.5000 0.5000 0.5000
Tc 0.2285 0.2285 0.3146
Be 0.0000 0.0000 0.0000

(3)
# Be2TcH6

An optimized crystal structure of Be2TcH6 (PBE, the Alexandria database).

## Properties
Symmetry: Pnnm
Final energy, eV/atom: -4.106

a b c (Å): 3.6825 4.3584 7.1154
angles (deg): 90.00 90.00 90.00
Fractional coordinates of all 18 atoms:
H 0.7659 0.8122 0.6798
Tc 0.0000 0.0000 0.5000
H 0.7455 0.8444 0.9999
H 0.2455 0.6556 0.5001
H 0.7334 0.3123 0.8199
Be 0.4999 0.0000 0.8154
H 0.2341 0.1878 0.3202
Be 0.5001 0.0000 0.1846
H 0.7666 0.8123 0.3199
H 0.2666 0.6877 0.1801
H 0.7341 0.3122 0.1798
H 0.2334 0.1877 0.6801
H 0.2545 0.1556 0.0001
Be 0.0001 0.5000 0.3154
Be 0.9999 0.5000 0.6846
H 0.2659 0.6878 0.8202
H 0.7545 0.3444 0.4999
Tc 0.5000 0.5000 0.0000

(4)
# BeTc2TeH

An optimized crystal structure of BeTc2TeH (PBE, the Alexandria database).

## Properties
Symmetry: P4/mmm
Final energy, eV/atom: -4.759

a b c (Å): 4.1819 4.4940 4.1819
angles (deg): 90.00 90.00 90.00
Fractional coordinates of all 5 atoms:
Tc 0.0000 0.0000 0.5000
Tc 0.5000 0.0000 0.0000
H 0.5000 0.5000 0.5000
Be 0.0000 0.0000 0.0000
Te 0.0000 0.5000 0.0000

(5)
# BeTl2TcH

An optimized crystal structure of BeTl2TcH (PBE, the Alexandria database).

## Properties
Symmetry: P4/mmm
Final energy, eV/atom: -3.386

a b c (Å): 5.3422 4.2838 5.3422
angles (deg): 90.00 90.00 90.00
Fractional coordinates of all 5 atoms:
Be 0.0000 0.5000 0.0000
Tl 0.0000 0.0000 0.5000
H 0.5000 0.5000 0.5000
Tc 0.0000 0.0000 0.0000
Tl 0.5000 0.0000 0.0000

(6)
# BeTeH3

An optimized crystal structure of BeTeH3 (PBE, the Alexandria database).

## Properties
Symmetry: Pm-3m
Final energy, eV/atom: -2.311

a b c (Å): 4.0585 4.0585 4.0585
angles (deg): 90.00 90.00 90.00
Fractional coordinates of all 5 atoms:
H 0.0000 0.5000 0.0000
Be 0.5000 0.5000 0.5000
Te 0.0000 0.0000 0.0000
H 0.0000 0.0000 0.5000
H 0.5000 0.0000 0.0000

(7)
# BeTe2H

An optimized crystal structure of BeTe2H (PBE, the Alexandria database).

## Properties
Symmetry: R-3m
Final energy, eV/atom: -3.138

a b c (Å): 7.2279 7.2279 7.2279
angles (deg): 30.29 30.29 30.29
Fractional coordinates of all 4 atoms:
Te 0.9036 0.9036 0.9036
H 0.0000 0.0000 0.0000
Be 0.5000 0.5000 0.5000
Te 0.0964 0.0964 0.0964

(8)
# BeTe2H

An optimized crystal structure of BeTe2H (PBE, the Alexandria database).

## Properties
Symmetry: I-42d
Final energy, eV/atom: -3.087

a b c (Å): 5.5357 5.5357 6.6254
angles (deg): 65.31 65.31 90.00
Fractional coordinates of all 8 atoms:
Te 0.8750 0.8568 0.7500
Be 0.0000 0.0000 0.0000
Te 0.6068 0.1250 0.2500
H 0.2500 0.7500 0.5000
Be 0.7500 0.2500 0.5000
Te 0.1432 0.6250 0.2500
H 0.5000 0.5000 0.0000
Te 0.3750 0.3932 0.7500

(9)
# Be2TeH6

An optimized crystal structure of Be2TeH6 (PBE, the Alexandria database).

## Properties
Symmetry: Fm-3m
Final energy, eV/atom: -2.329

a b c (Å): 4.5952 4.5957 4.5955
angles (deg): 60.00 60.00 60.00
Fractional coordinates of all 9 atoms:
H 0.6481 0.3519 0.6481
Be 0.7500 0.7500 0.7500
H 0.3519 0.6481 0.6481
Te 0.0000 0.0000 0.0000
H 0.3519 0.6481 0.3519
H 0.3519 0.3519 0.6481
Be 0.2500 0.2500 0.2500
H 0.6481 0.3519 0.3519
H 0.6481 0.6481 0.3519

(10)
# Be2TeH6

An optimized crystal structure of Be2TeH6 (PBE, the Alexandria database).

## Properties
Symmetry: P-1
Final energy, eV/atom: -3.178

a b c (Å): 4.6694 9.5412 6.2443
angles (deg): 61.50 26.40 50.57
Fractional coordinates of all 9 atoms:
H 0.3178 0.7622 0.5628
Te 0.0000 0.0000 0.0000
Be 0.9969 0.6758 0.6683
H 0.5808 0.6467 0.4722
H 0.4192 0.3533 0.5278
H 0.6822 0.2378 0.4372
H 0.4932 0.6221 0.1697
Be 0.0031 0.3242 0.3317
H 0.5068 0.3779 0.8303

(11)
# BeTe3H

An optimized crystal structure of BeTe3H (PBE, the Alexandria database).

## Properties
Symmetry: Pm-3m
Final energy, eV/atom: -2.502

a b c (Å): 5.0321 5.0321 5.0321
angles (deg): 90.00 90.00 90.00
Fractional coordinates of all 5 atoms:
Te 0.0000 0.5000 0.0000
Te 0.5000 0.0000 0.0000
Be 0.0000 0.0000 0.0000
Te 0.0000 0.0000 0.5000
H 0.5000 0.5000 0.5000

(12)
# BeTeH3

An optimized crystal structure of BeTeH3 (PBE, the Alexandria database).

## Properties
Symmetry: Pm-3m
Final energy, eV/atom: -2.618

a b c (Å): 3.5622 3.5622 3.5622
angles (deg): 90.00 90.00 90.00
Fractional coordinates of all 5 atoms:
H 0.0000 0.5000 0.0000
Te 0.5000 0.5000 0.5000
H 0.5000 0.0000 0.0000
Be 0.0000 0.0000 0.0000
H 0.0000 0.0000 0.5000

(13)
# BeTe2H

An optimized crystal structure of BeTe2H (PBE, the Alexandria database).

## Properties
Symmetry: Fm-3m
Final energy, eV/atom: -2.628

a b c (Å): 4.5912 4.5912 4.5912
angles (deg): 60.00 60.00 60.00
Fractional coordinates of all 4 atoms:
H 0.0000 0.0000 0.0000
Te 0.2500 0.2500 0.2500
Te 0.7500 0.7500 0.7500
Be 0.5000 0.5000 0.5000

(14)
# TiBeTe2H

An optimized crystal structure of TiBeTe2H (PBE, the Alexandria database).

## Properties
Symmetry: P4/mmm
Final energy, eV/atom: -3.926

a b c (Å): 4.9913 3.3072 4.9913
angles (deg): 90.00 90.00 90.00
Fractional coordinates of all 5 atoms:
Be 0.0000 0.5000 0.0000
Te 0.0000 0.0000 0.5000
H 0.0000 0.0000 0.0000
Te 0.5000 0.0000 0.0000
Ti 0.5000 0.5000 0.5000

(15)
# BeZnTe2H

An optimized crystal structure of BeZnTe2H (PBE, the Alexandria database).

## Properties
Symmetry: P4/mmm
Final energy, eV/atom: -1.916

a b c (Å): 5.3048 4.3740 5.3048
angles (deg): 90.00 90.00 90.00
Fractional coordinates of all 5 atoms:
Te 0.0000 0.0000 0.5000
Be 0.0000 0.5000 0.0000
H 0.5000 0.5000 0.5000
Te 0.5000 0.0000 0.0000
Zn 0.0000 0.0000 0.0000

(16)
# ThBe2H8

An optimized crystal structure of ThBe2H8 (PBE, the Alexandria database).

## Properties
Symmetry: R-3m
Final energy, eV/atom: -4.031

a b c (Å): 4.3429 4.3444 5.9167
angles (deg): 111.59 90.00 119.99
Fractional coordinates of all 11 atoms:
H 0.9253 0.3615 0.7981
Be 0.2240 0.4479 0.6734
H 0.5638 0.6385 0.2019
Be 0.7760 0.5521 0.3266
H 0.4358 0.8716 0.7978
H 0.4362 0.3615 0.7981
H 0.0747 0.6385 0.2019
Th 0.0000 0.0000 0.0000
H 0.1367 0.2734 0.4112
H 0.5642 0.1284 0.2022
H 0.8633 0.7266 0.5888

(17)
# ThBeH

An optimized crystal structure of ThBeH (PBE, the Alexandria database).

## Properties
Symmetry: Ama2
Final energy, eV/atom: -4.654

a b c (Å): 3.8837 4.2142 6.2965
angles (deg): 109.54 90.00 90.00
Fractional coordinates of all 6 atoms:
H 0.5000 0.7645 0.3140
Be 0.2500 0.4350 0.2357
H 0.0000 0.6863 0.1570
Th 0.0000 0.0979 0.5381
Be 0.7500 0.4350 0.2357
Th 0.5000 0.7957 0.9331

(18)
# Ti6BeH2

An optimized crystal structure of Ti6BeH2 (PBE, the Alexandria database).

## Properties
Symmetry: C2/m
Final energy, eV/atom: -6.444

a b c (Å): 4.0528 5.2599 6.5344
angles (deg): 83.95 71.93 67.34
Fractional coordinates of all 9 atoms:
Ti 0.3543 0.8013 0.4901
Ti 0.6838 0.7911 0.8413
Be 0.0000 0.5000 0.5000
H 0.1766 0.8122 0.8346
H 0.8234 0.1878 0.1655
Ti 0.6457 0.1987 0.5099
Ti 0.9807 0.2010 0.8376
Ti 0.0193 0.7990 0.1624
Ti 0.3162 0.2089 0.1587

(19)
# TiBeH4

An optimized crystal structure of TiBeH4 (PBE, the Alexandria database).

## Properties
Symmetry: P1
Final energy, eV/atom: -4.306

a b c (Å): 2.9814 3.0651 4.5731
angles (deg): 70.49 89.91 90.00
Fractional coordinates of all 6 atoms:
H 0.0019 0.6041 0.6997
Ti 0.5010 0.4594 0.9901
H 0.5018 0.1020 0.7058
Be 0.0021 0.1508 0.6044
H 0.0007 0.3240 0.2652
H 0.5003 0.8434 0.2236

(20)
# Ti5Be2H12

An optimized crystal structure of Ti5Be2H12 (PBE, the Alexandria database).

## Properties
Symmetry: C2/m
Final energy, eV/atom: -4.826

a b c (Å): 4.9245 5.6210 5.7400
angles (deg): 104.44 90.00 115.98
Fractional coordinates of all 19 atoms:
Ti 0.0000 0.0000 0.5000
H 0.9932 0.9864 0.1717
H 0.0068 0.0136 0.8283
H 0.6037 0.6804 0.4210
H 0.5002 0.0003 0.8183
H 0.0766 0.6804 0.4210
H 0.4998 0.9997 0.1817
H 0.3963 0.3196 0.5790
H 0.0926 0.6701 0.9171
Ti 0.6777 0.3553 0.3464
Be 0.2281 0.0000 0.0000
Ti 0.6769 0.3537 0.8291
H 0.9074 0.3299 0.0829
H 0.9234 0.3196 0.5790
H 0.4224 0.3299 0.0829
H 0.5776 0.6701 0.9171
Ti 0.3223 0.6447 0.6536
Ti 0.3231 0.6463 0.1709
Be 0.7719 0.0000 0.0000

Number 1: size of the total moment 0.00 μB per formula unit. Number 2: size of the total moment 0.00 μB per formula unit. Number 3: size of the total moment 0.00 μB per formula unit. Number 4: size of the total moment 0.00 μB per formula unit. Number 5: size of the total moment 1.45 μB per formula unit. Number 6: size of the total moment 0.00 μB per formula unit. Number 7: size of the total moment 0.00 μB per formula unit. Number 8: size of the total moment 0.00 μB per formula unit. Number 9: size of the total moment 0.00 μB per formula unit. Number 10: size of the total moment 0.00 μB per formula unit. Number 11: size of the total moment 1.03 μB per formula unit. Number 12: size of the total moment 0.00 μB per formula unit. Number 13: size of the total moment 0.00 μB per formula unit. Number 14: size of the total moment 0.00 μB per formula unit. Number 15: size of the total moment 0.72 μB per formula unit. Number 16: size of the total moment 0.00 μB per formula unit. Number 17: size of the total moment 0.00 μB per formula unit. Number 18: size of the total moment 0.00 μB per formula unit. Number 19: size of the total moment 0.00 μB per formula unit. Number 20: size of the total moment 0.00 μB per formula unit.